1.
A geometry-optimized La2Pr2Mg15 structure, computed with PBE.

Properties
As for the space group: R-3m. For the density of states at the Fermi level, the calculation gives 17.79 states/eV per cell. The crystal system is trigonal. Its formation energy is -0.021 eV/atom.

a b c (Å): 8.028 8.028 8.028
angles (deg): 83.23 83.23 83.23
Atoms (fractional coordinates):
La1 0.335 0.335 0.335
La2 0.665 0.665 0.665
Pr1 0.095 0.095 0.095
Pr2 0.905 0.905 0.905
Mg1 0.500 0.000 0.000
Mg2 0.000 0.000 0.500
Mg3 0.000 0.500 0.000
Mg4 0.000 0.697 0.303
Mg5 0.697 0.303 0.000
Mg6 0.303 0.000 0.697
Mg7 0.303 0.697 0.000
Mg8 0.697 0.000 0.303
Mg9 0.000 0.303 0.697
Mg10 0.160 0.646 0.646
Mg11 0.646 0.646 0.160
Mg12 0.646 0.160 0.646
Mg13 0.840 0.354 0.354
Mg14 0.354 0.354 0.840
Mg15 0.354 0.840 0.354

=====

2.
A geometry-optimized La2Pr2Mg3 structure, computed with PBE.

Properties
As for the space group: Cmmm. For the density of states at the Fermi level, the calculation gives 7.66 states/eV per cell. The crystal system is orthorhombic. Its formation energy is -0.039 eV/atom.

a b c (Å): 3.960 3.895 14.414
angles (deg): 90.00 82.10 90.00
Atoms (fractional coordinates):
La1 0.703 0.500 0.594
La2 0.297 0.500 0.406
Pr1 0.568 0.500 0.863
Pr2 0.432 0.500 0.137
Mg1 0.866 0.000 0.268
Mg2 0.000 0.000 0.000
Mg3 0.134 0.000 0.732

=====

3.
A geometry-optimized La3Pr12Mg structure, computed with PBE.

Properties
As for the space group: P4/mmm. For the density of states at the Fermi level, the calculation gives 23.99 states/eV per cell. The crystal system is tetragonal. Its formation energy is 0.010 eV/atom.

a b c (Å): 5.213 5.213 20.934
angles (deg): 90.00 90.00 90.00
Atoms (fractional coordinates):
La1 0.000 0.000 0.246
La2 0.000 0.000 0.500
La3 0.000 0.000 0.754
Pr1 0.500 0.500 0.000
Pr2 0.500 0.500 0.245
Pr3 0.500 0.500 0.500
Pr4 0.500 0.500 0.755
Pr5 0.500 0.000 0.121
Pr6 0.500 0.000 0.373
Pr7 0.500 0.000 0.627
Pr8 0.500 0.000 0.879
Pr9 0.000 0.500 0.121
Pr10 0.000 0.500 0.373
Pr11 0.000 0.500 0.627
Pr12 0.000 0.500 0.879
Mg1 0.000 0.000 0.000

=====

4.
A geometry-optimized La2PrMg2 structure, computed with PBE.

Properties
As for the space group: Cmmm. For the density of states at the Fermi level, the calculation gives 5.19 states/eV per cell. The crystal system is orthorhombic. Its formation energy is -0.009 eV/atom.

a b c (Å): 3.881 3.965 10.596
angles (deg): 79.22 90.00 90.00
Atoms (fractional coordinates):
La1 0.000 0.185 0.630
La2 0.000 0.815 0.370
Pr1 0.000 0.000 0.000
Mg1 0.500 0.410 0.179
Mg2 0.500 0.590 0.821

=====

5.
A geometry-optimized La5Pr3Mg2 structure, computed with PBE.

Properties
As for the space group: C2/m. For the density of states at the Fermi level, the calculation gives 15.87 states/eV per cell. The crystal system is monoclinic. Its formation energy is 0.043 eV/atom.

a b c (Å): 5.977 5.693 15.187
angles (deg): 52.10 78.65 58.34
Atoms (fractional coordinates):
La1 0.000 0.000 0.000
La2 0.193 0.028 0.586
La3 0.807 0.972 0.414
La4 0.697 0.501 0.106
La5 0.303 0.499 0.894
Pr1 0.500 0.500 0.500
Pr2 0.090 0.529 0.291
Pr3 0.910 0.471 0.709
Mg1 0.394 0.014 0.198
Mg2 0.606 0.986 0.802

=====

6.
A geometry-optimized La4PrMg structure, computed with PBE.

Properties
As for the space group: C2/c. For the offset from the most stable computed form, the calculation gives 84 meV per atom. For the density of states at the Fermi level, the calculation gives 16.75 states/eV per cell. The crystal system is monoclinic. Its formation energy is 0.053 eV/atom.

a b c (Å): 9.027 6.150 10.169
angles (deg): 91.23 104.62 129.27
Atoms (fractional coordinates):
La1 0.231 0.859 0.438
La2 0.055 0.827 0.093
La3 0.293 0.421 0.562
La4 0.462 0.734 0.907
La5 0.769 0.141 0.562
La6 0.707 0.579 0.438
La7 0.945 0.173 0.907
La8 0.538 0.266 0.093
Pr1 0.872 0.122 0.244
Pr2 0.128 0.878 0.756
Mg1 0.362 0.612 0.224
Mg2 0.638 0.388 0.776

=====

7.
A geometry-optimized LaPr3Mg2 structure, computed with PBE.

Properties
As for the space group: P4/mmm. For the density of states at the Fermi level, the calculation gives 6.65 states/eV per cell. The crystal system is tetragonal. Its formation energy is -0.068 eV/atom.

a b c (Å): 3.853 3.853 13.085
angles (deg): 90.00 90.00 90.00
Atoms (fractional coordinates):
La1 0.500 0.500 0.500
Pr1 0.000 0.000 0.000
Pr2 0.000 0.000 0.696
Pr3 0.000 0.000 0.304
Mg1 0.500 0.500 0.848
Mg2 0.500 0.500 0.152

=====

8.
A geometry-optimized La2Pr4Mg structure, computed with PBE.

Properties
As for the space group: P-42m. For the offset from the most stable computed form, the calculation gives 419 meV per atom. For the density of states at the Fermi level, the calculation gives 11.22 states/eV per cell. The crystal system is tetragonal. Its formation energy is 0.480 eV/atom.

a b c (Å): 4.840 4.840 11.484
angles (deg): 90.00 90.00 90.00
Atoms (fractional coordinates):
La1 0.500 0.000 0.500
La2 0.000 0.500 0.500
Pr1 0.739 0.261 0.767
Pr2 0.261 0.261 0.233
Pr3 0.261 0.739 0.767
Pr4 0.739 0.739 0.233
Mg1 0.000 0.000 0.000